(1)
The following is a DFT calculation (PBE) of crystalline Zr4Al at its relaxed geometry.

Cell and atoms, written as CIF:
```
data_Zr4Al
_chemical_formula_sum 'Zr16 Al4'
_space_group_name_H-M_alt 'I m m a'
_space_group_IT_number 74
_space_group_name_Hall '-I 2b 2'
_cell_length_a 4.8038
_cell_length_b 6.0586
_cell_length_c 14.7732
_cell_angle_alpha 90.00
_cell_angle_beta 90.00
_cell_angle_gamma 90.00
loop_
_atom_site_label
_atom_site_fract_x
_atom_site_fract_y
_atom_site_fract_z
Zr1 0.0000 0.0000 0.0000
Zr2 0.0000 0.0011 0.1985
Zr3 0.0000 0.2500 0.5978
Al1 0.0000 0.2500 0.3896
```

Calculated values
Energy of formation = -0.123 eV/atom
Energy above the most stable polymorph in this dataset = 0.24 eV/f.u.
N(E_F) = 27.0 states/eV/cell
Calculated volume = 430.0 Å³ per cell
E_tot = -0.283 Ha/atom
Magnetization = 0.00 μB/f.u.

---

(2)
The following is a DFT calculation (PBE) of crystalline KLiZr2 at its relaxed geometry.

Cell and atoms, written as CIF:
```
data_KLiZr2
_chemical_formula_sum 'K2 Li2 Zr4'
_space_group_name_H-M_alt 'C m m m'
_space_group_IT_number 65
_space_group_name_Hall '-C 2 2'
_cell_length_a 3.2715
_cell_length_b 5.1708
_cell_length_c 12.1571
_cell_angle_alpha 90.00
_cell_angle_beta 90.00
_cell_angle_gamma 90.00
loop_
_atom_site_label
_atom_site_fract_x
_atom_site_fract_y
_atom_site_fract_z
K1 0.0000 0.0000 0.0000
Li1 0.0000 0.0000 0.5000
Zr1 0.0000 0.5000 0.2878
```

Calculated values
Energy of formation = 0.587 eV/atom
Energy above the most stable polymorph in this dataset = 1.10 eV/f.u.
N(E_F) = 8.3 states/eV/cell
Calculated volume = 205.7 Å³ per cell
E_tot = -0.163 Ha/atom
Magnetization = 0.00 μB/f.u.

---

(3)
The following is a DFT calculation (PBE) of crystalline Pm2TmThN4 at its relaxed geometry.

Cell and atoms, written as CIF:
```
data_Pm2TmThN4
_chemical_formula_sum 'Pm2 Tm1 Th1 N4'
_space_group_name_H-M_alt 'P 1 2/m 1'
_space_group_IT_number 10
_cell_length_a 6.1776
_cell_length_b 3.5861
_cell_length_c 6.2031
_cell_angle_alpha 90.00
_cell_angle_beta 109.28
_cell_angle_gamma 90.00
loop_
_space_group_symop_operation_xyz
'x,y,z'
'-x,-y,-z'
'-x,y,-z'
'x,-y,z'
loop_
_atom_site_label
_atom_site_fract_x
_atom_site_fract_y
_atom_site_fract_z
Pm1 0.0000 0.0000 0.0000
Pm2 0.5000 0.5000 0.0000
Tm1 0.0000 0.5000 0.5000
Th1 0.5000 0.0000 0.5000
N1 0.2439 0.0000 0.7365
N2 0.2500 0.5000 0.2617
```

Calculated values
Formation energy from raw total energies = -1.58 eV/atom
N(E_F) = 1.8 states/eV/cell
Calculated volume = 129.7 Å³ per cell
E_tot = -0.309 Ha/atom
Magnetization = 0.00 μB/f.u.

---

(4)
The following is a DFT calculation (PBE) of crystalline SiOsPtAu2 at its relaxed geometry.

Cell and atoms, written as CIF:
```
data_SiOsPtAu2
_chemical_formula_sum 'Si1 Os1 Pt1 Au2'
_space_group_name_H-M_alt 'P 4/m m m'
_space_group_IT_number 123
_space_group_name_Hall '-P 4 2'
_cell_length_a 5.0570
_cell_length_b 5.0570
_cell_length_c 4.7217
_cell_angle_alpha 90.00
_cell_angle_beta 90.00
_cell_angle_gamma 90.00
loop_
_atom_site_label
_atom_site_fract_x
_atom_site_fract_y
_atom_site_fract_z
Si1 0.0000 0.0000 0.0000
Os1 0.5000 0.5000 0.0000
Pt1 0.5000 0.5000 0.5000
Au1 0.0000 0.5000 0.5000
```

Calculated values
Formation energy from raw total energies = 1.58 eV/atom
N(E_F) = 3.8 states/eV/cell
Calculated volume = 120.7 Å³ per cell
E_tot = -0.157 Ha/atom
Magnetization = 1.02 μB/f.u.

---

N(E_F) of number 4 (SiOsPtAu2)?
3.8 states/eV/cell

---

Please write out number 3 again, unchanged.
The following is a DFT calculation (PBE) of crystalline Pm2TmThN4 at its relaxed geometry.

Cell and atoms, written as CIF:
```
data_Pm2TmThN4
_chemical_formula_sum 'Pm2 Tm1 Th1 N4'
_space_group_name_H-M_alt 'P 1 2/m 1'
_space_group_IT_number 10
_cell_length_a 6.1776
_cell_length_b 3.5861
_cell_length_c 6.2031
_cell_angle_alpha 90.00
_cell_angle_beta 109.28
_cell_angle_gamma 90.00
loop_
_space_group_symop_operation_xyz
'x,y,z'
'-x,-y,-z'
'-x,y,-z'
'x,-y,z'
loop_
_atom_site_label
_atom_site_fract_x
_atom_site_fract_y
_atom_site_fract_z
Pm1 0.0000 0.0000 0.0000
Pm2 0.5000 0.5000 0.0000
Tm1 0.0000 0.5000 0.5000
Th1 0.5000 0.0000 0.5000
N1 0.2439 0.0000 0.7365
N2 0.2500 0.5000 0.2617
```

Calculated values
Formation energy from raw total energies = -1.58 eV/atom
N(E_F) = 1.8 states/eV/cell
Calculated volume = 129.7 Å³ per cell
E_tot = -0.309 Ha/atom
Magnetization = 0.00 μB/f.u.

---

What did the second record say?
The following is a DFT calculation (PBE) of crystalline KLiZr2 at its relaxed geometry.

Cell and atoms, written as CIF:
```
data_KLiZr2
_chemical_formula_sum 'K2 Li2 Zr4'
_space_group_name_H-M_alt 'C m m m'
_space_group_IT_number 65
_space_group_name_Hall '-C 2 2'
_cell_length_a 3.2715
_cell_length_b 5.1708
_cell_length_c 12.1571
_cell_angle_alpha 90.00
_cell_angle_beta 90.00
_cell_angle_gamma 90.00
loop_
_atom_site_label
_atom_site_fract_x
_atom_site_fract_y
_atom_site_fract_z
K1 0.0000 0.0000 0.0000
Li1 0.0000 0.0000 0.5000
Zr1 0.0000 0.5000 0.2878
```

Calculated values
Energy of formation = 0.587 eV/atom
Energy above the most stable polymorph in this dataset = 1.10 eV/f.u.
N(E_F) = 8.3 states/eV/cell
Calculated volume = 205.7 Å³ per cell
E_tot = -0.163 Ha/atom
Magnetization = 0.00 μB/f.u.

---

Which value of calculated volume does entry 3 give?
129.7 Å³ per cell